FeGe: single point on PBEsol structure, meta-GGA SCAN.

- DFT formation energy: -0.0199 eV per atom
- Space group: P2_13, No. 198
- V: 12.08 A^3/atom
- Fermi-level density of states: 1.6 states/eV/f.u.
- Total energy: -149.0 eV/cell

a = 4.5890 Å, b = 4.5890 Å, c = 4.5890 Å
α = 90.00°, β = 90.00°, γ = 90.00°
Fractional coordinates of all 8 atoms:
1 Fe 0.1365 0.1365 0.1365
2 Fe 0.3635 0.8635 0.6365
3 Fe 0.6365 0.3635 0.8635
4 Fe 0.8635 0.6365 0.3635
5 Ge 0.1580 0.3420 0.6580
6 Ge 0.3420 0.6580 0.1580
7 Ge 0.6580 0.1580 0.3420
8 Ge 0.8420 0.8420 0.8420